# 1
A plane-wave DFT calculation with PBE was carried out for a relaxed TlInP2 crystal.

```
4
Lattice="3.806 0.000 0.000 0.000 3.978 0.000 0.000 0.000 6.091" Properties=species:S:1:pos:R:3 pbc="T T T"
Tl 0.000 0.000 0.000
In 0.000 1.989 3.045
P 1.903 0.000 3.045
P 1.903 1.989 0.000
```

ΔE_f   48 kJ/mol of atoms
E above lowest polymorph   47.19 kJ per mole of atoms
Crystal system   orthorhombic



# 2
A plane-wave DFT calculation with PBE was carried out for a relaxed TlInP2 crystal.

```
4
Lattice="3.400 0.000 0.000 0.000 3.400 0.000 0.000 0.000 7.903" Properties=species:S:1:pos:R:3 pbc="T T T"
Tl 0.000 0.000 0.000
In 1.700 1.700 2.576
P 0.000 0.000 4.889
P 1.700 1.700 5.317
```

ΔE_f   17 kJ/mol of atoms
E above lowest polymorph   16.37 kJ per mole of atoms
Crystal system   tetragonal



# 3
A plane-wave DFT calculation with PBE was carried out for a relaxed TlInP3 crystal.

```
5
Lattice="5.147 0.000 0.000 0.000 5.147 0.000 0.000 0.000 5.147" Properties=species:S:1:pos:R:3 pbc="T T T"
Tl 0.000 0.000 0.000
In 2.573 2.573 2.573
P 0.000 2.573 2.573
P 2.573 0.000 2.573
P 2.573 2.573 0.000
```

ΔE_f   95 kJ/mol of atoms
E above lowest polymorph   0.00 kJ per mole of atoms
Crystal system   cubic



# 4
A plane-wave DFT calculation with PBE was carried out for a relaxed Tl2InP2 crystal.

```
10
Lattice="7.850 0.000 0.000 0.000 7.850 0.000 0.000 0.000 3.909" Properties=species:S:1:pos:R:3 pbc="T T T"
Tl 1.147 2.778 0.000
Tl 2.778 6.703 0.000
Tl 5.072 1.147 0.000
Tl 6.703 5.072 0.000
In 0.000 0.000 1.954
In 3.925 3.925 1.954
P 1.301 5.226 1.954
P 2.623 1.301 1.954
P 5.226 6.548 1.954
P 6.548 2.623 1.954
```

ΔE_f   33 kJ/mol of atoms
E above lowest polymorph   16.39 kJ per mole of atoms
Crystal system   tetragonal



# 5
A plane-wave DFT calculation with PBE was carried out for a relaxed TlInP crystal.

```
12
Lattice="4.129 0.000 0.000 0.000 8.358 0.000 0.000 0.000 9.906" Properties=species:S:1:pos:R:3 pbc="T T T"
Tl 1.032 0.334 2.383
Tl 1.032 3.845 2.383
Tl 3.096 4.513 7.523
Tl 3.096 8.024 7.523
In 1.032 2.089 8.969
In 1.032 6.268 5.187
In 3.096 2.089 4.720
In 3.096 6.268 0.938
P 1.032 2.089 6.411
P 1.032 6.268 9.380
P 3.096 2.089 0.526
P 3.096 6.268 3.496
```

ΔE_f   12 kJ/mol of atoms
E above lowest polymorph   10.44 kJ per mole of atoms
Crystal system   orthorhombic



# 6
A plane-wave DFT calculation with PBE was carried out for a relaxed TlIn2P2 crystal.

```
10
Lattice="5.164 0.000 0.000 0.000 5.164 0.000 0.000 0.000 9.179" Properties=species:S:1:pos:R:3 pbc="T T T"
Tl 0.000 0.000 0.000
Tl 2.582 2.582 4.590
In 0.000 2.582 2.295
In 0.000 2.582 6.884
In 2.582 0.000 2.295
In 2.582 0.000 6.884
P 0.000 0.000 3.472
P 0.000 0.000 5.707
P 2.582 2.582 1.117
P 2.582 2.582 8.062
```

ΔE_f   10 kJ/mol of atoms
E above lowest polymorph   0.00 kJ per mole of atoms
Crystal system   tetragonal



# 7
A plane-wave DFT calculation with PBE was carried out for a relaxed Tl3In12P5 crystal.

```
80
Lattice="-8.378 8.378 8.378 8.378 -8.378 8.378 8.378 8.378 -8.378" Properties=species:S:1:pos:R:3 pbc="T T T"
Tl 4.189 2.095 0.000
Tl 8.378 4.189 -2.095
Tl 2.095 0.000 4.189
Tl 10.473 0.000 4.189
Tl 0.000 4.189 2.095
Tl 4.189 -2.095 8.378
Tl 4.189 10.473 0.000
Tl 8.378 4.189 6.284
Tl -2.095 8.378 4.189
Tl 6.284 8.378 4.189
Tl 0.000 4.189 10.473
Tl 4.189 6.284 8.378
In 2.533 -0.382 1.129
In 10.035 5.318 -4.572
In 7.996 -1.129 2.533
In 12.950 -1.656 3.060
In 10.911 0.382 1.129
In 10.035 -3.060 4.572
In 1.129 2.533 -0.382
In 11.439 3.807 -1.656
In 5.318 4.572 -1.656
In 7.249 2.533 0.382
In -0.382 1.129 2.533
In 4.572 -1.656 5.318
In 7.996 7.249 -2.533
In 4.572 1.656 3.060
In 7.249 -2.533 7.996
In 5.318 -4.572 10.035
In 3.060 4.572 1.656
In 9.507 5.845 0.382
In 2.533 7.996 -1.129
In 10.035 3.060 3.807
In 4.572 10.035 -3.060
In 7.996 1.129 5.845
In 1.656 3.060 4.572
In 2.533 0.382 7.249
In 5.845 7.996 1.129
In 6.722 5.318 3.807
In 0.382 7.249 2.533
In 3.807 -1.656 11.439
In -1.656 5.318 4.572
In 5.845 0.382 9.507
In -1.129 2.533 7.996
In 5.318 3.807 6.722
In 3.060 12.950 -1.656
In 1.129 10.911 0.382
In 3.807 6.722 5.318
In 0.382 1.129 10.911
In 3.807 10.035 3.060
In 8.761 7.249 5.845
In 1.129 5.845 7.996
In 3.060 3.807 10.035
In -3.060 4.572 10.035
In 7.249 5.845 8.761
In -1.656 11.439 3.807
In -2.533 7.996 7.249
In -4.572 10.035 5.318
In 0.382 9.507 5.845
In -1.656 3.060 12.950
In 5.845 8.761 7.249
P 0.000 0.000 0.000
P 4.189 4.189 -4.189
P 4.189 -4.189 4.189
P 8.378 0.000 0.000
P 12.567 2.095 0.000
P 8.378 -4.189 6.284
P 6.284 8.378 -4.189
P 6.284 0.000 4.189
P 4.189 6.284 0.000
P 8.378 4.189 2.095
P -4.189 4.189 4.189
P 0.000 8.378 0.000
P 0.000 0.000 8.378
P 4.189 4.189 4.189
P 0.000 4.189 6.284
P 4.189 2.095 8.378
P 2.095 8.378 4.189
P 2.095 0.000 12.567
P 0.000 12.567 2.095
P -4.189 6.284 8.378
```

ΔE_f   13 kJ/mol of atoms
Crystal system   cubic



# 8
A plane-wave DFT calculation with PBE was carried out for a relaxed Tl2InP2 crystal.

```
10
Lattice="3.355 0.000 0.000 0.000 3.355 0.000 0.000 0.000 22.148" Properties=species:S:1:pos:R:3 pbc="T T T"
Tl 0.000 0.000 2.681
Tl 0.000 0.000 19.466
Tl 1.678 1.678 8.392
Tl 1.678 1.678 13.755
In 0.000 0.000 11.074
In 1.678 1.678 0.000
P 0.000 1.678 5.537
P 0.000 1.678 16.611
P 1.678 0.000 5.537
P 1.678 0.000 16.611
```

ΔE_f   16 kJ/mol of atoms
E above lowest polymorph   0.00 kJ per mole of atoms
Crystal system   tetragonal



# 9
A plane-wave DFT calculation with PBE was carried out for a relaxed TlInP2 crystal.

```
8
Lattice="3.988 0.000 0.000 0.000 6.006 0.000 0.000 0.000 7.806" Properties=species:S:1:pos:R:3 pbc="T T T"
Tl 0.000 0.000 0.000
Tl 1.994 3.003 3.903
In 0.000 0.000 3.903
In 1.994 3.003 0.000
P 0.000 3.003 1.729
P 0.000 3.003 6.077
P 1.994 0.000 2.174
P 1.994 0.000 5.632
```

ΔE_f   44 kJ/mol of atoms
E above lowest polymorph   43.28 kJ per mole of atoms
Crystal system   orthorhombic



# 10
A plane-wave DFT calculation with PBE was carried out for a relaxed TlInP2 crystal.

```
8
Lattice="4.756 0.000 0.000 0.000 4.756 0.000 0.000 0.000 7.709" Properties=species:S:1:pos:R:3 pbc="T T T"
Tl 0.000 0.000 0.000
Tl 2.378 2.378 3.854
In 0.000 2.378 5.782
In 2.378 0.000 1.927
P 0.000 0.000 3.854
P 0.000 2.378 1.927
P 2.378 0.000 5.782
P 2.378 2.378 0.000
```

ΔE_f   56 kJ/mol of atoms
E above lowest polymorph   55.65 kJ per mole of atoms
Crystal system   tetragonal



# 11
A plane-wave DFT calculation with PBE was carried out for a relaxed TlInP2 crystal.

```
16
Lattice="6.026 0.000 0.000 0.000 6.026 0.000 0.000 0.000 12.052" Properties=species:S:1:pos:R:3 pbc="T T T"
Tl 0.000 0.000 0.000
Tl 0.000 3.013 3.013
Tl 3.013 0.000 9.039
Tl 3.013 3.013 6.026
In 0.000 0.000 6.026
In 0.000 3.013 9.039
In 3.013 0.000 3.013
In 3.013 3.013 0.000
P 1.454 1.507 7.533
P 1.507 4.467 10.546
P 1.507 4.572 4.520
P 1.559 1.507 1.507
P 4.467 4.520 1.507
P 4.520 1.454 4.520
P 4.520 1.559 10.546
P 4.572 4.520 7.533
```

ΔE_f   0 kJ/mol of atoms
E above lowest polymorph   0.00 kJ per mole of atoms
Crystal system   tetragonal



# 12
A plane-wave DFT calculation with PBE was carried out for a relaxed Tl3InP crystal.

```
5
Lattice="5.415 0.000 0.000 0.000 5.415 0.000 0.000 0.000 5.415" Properties=species:S:1:pos:R:3 pbc="T T T"
Tl 0.000 0.000 2.707
Tl 0.000 2.707 0.000
Tl 2.707 0.000 0.000
In 2.707 2.707 2.707
P 0.000 0.000 0.000
```

ΔE_f   36 kJ/mol of atoms
E above lowest polymorph   0.00 kJ per mole of atoms
Crystal system   cubic



# 13
A plane-wave DFT calculation with PBE was carried out for a relaxed TlInP2 crystal.

```
4
Lattice="4.896 0.000 0.000 0.000 3.332 0.000 -1.375 0.000 6.236" Properties=species:S:1:pos:R:3 pbc="T T T"
Tl 0.000 0.000 0.000
In 0.916 1.666 3.831
P 2.554 1.666 1.527
P 3.343 0.000 2.804
```

ΔE_f   9 kJ/mol of atoms
E above lowest polymorph   8.75 kJ per mole of atoms
Crystal system   monoclinic



# 14
A plane-wave DFT calculation with PBE was carried out for a relaxed TlIn2P2 crystal.

```
10
Lattice="7.937 0.000 0.000 0.000 7.937 0.000 0.000 0.000 3.606" Properties=species:S:1:pos:R:3 pbc="T T T"
Tl 0.000 0.000 0.000
Tl 3.968 3.968 0.000
In 1.153 2.816 1.803
In 2.816 6.784 1.803
In 5.121 1.153 1.803
In 6.784 5.121 1.803
P 1.218 5.186 0.000
P 2.751 1.218 0.000
P 5.186 6.719 0.000
P 6.719 2.751 0.000
```

ΔE_f   21 kJ/mol of atoms
E above lowest polymorph   10.37 kJ per mole of atoms
Crystal system   tetragonal



# 15
A plane-wave DFT calculation with PBE was carried out for a relaxed TlInP2 crystal.

```
16
Lattice="7.005 0.000 0.000 0.000 7.005 0.000 0.000 0.000 7.005" Properties=species:S:1:pos:R:3 pbc="T T T"
Tl 0.000 0.000 0.000
Tl 0.000 3.503 3.503
Tl 3.503 0.000 3.503
Tl 3.503 3.503 0.000
In 0.000 0.000 3.503
In 0.000 3.503 0.000
In 3.503 0.000 0.000
In 3.503 3.503 3.503
P 1.751 1.751 1.751
P 1.751 1.751 5.254
P 1.751 5.254 1.751
P 1.751 5.254 5.254
P 5.254 1.751 1.751
P 5.254 1.751 5.254
P 5.254 5.254 1.751
P 5.254 5.254 5.254
```

ΔE_f   48 kJ/mol of atoms
E above lowest polymorph   47.85 kJ per mole of atoms
Crystal system   cubic



# 16
A plane-wave DFT calculation with PBE was carried out for a relaxed TlInP2 crystal.

```
12
Lattice="3.366 0.000 0.000 -1.683 2.915 0.000 0.000 0.000 28.584" Properties=species:S:1:pos:R:3 pbc="T T T"
Tl 0.000 0.000 0.000
Tl 0.000 1.944 19.056
Tl 1.683 0.972 9.528
In 0.000 0.000 21.915
In 0.000 1.944 12.387
In 1.683 0.972 2.859
P 0.000 0.000 6.617
P 0.000 0.000 14.927
P 0.000 1.944 5.399
P 0.000 1.944 25.673
P 1.683 0.972 16.145
P 1.683 0.972 24.455
```

ΔE_f   8 kJ/mol of atoms
E above lowest polymorph   7.60 kJ per mole of atoms
Crystal system   trigonal



# 17
A plane-wave DFT calculation with PBE was carried out for a relaxed TlInP crystal.

```
6
Lattice="3.720 0.000 0.000 0.000 3.720 0.000 0.000 0.000 11.627" Properties=species:S:1:pos:R:3 pbc="T T T"
Tl 0.000 0.000 0.000
Tl 1.860 1.860 5.813
In 0.000 0.000 8.363
In 1.860 1.860 2.550
P 0.000 0.000 3.222
P 1.860 1.860 9.035
```

ΔE_f   17 kJ/mol of atoms
E above lowest polymorph   15.53 kJ per mole of atoms
Crystal system   tetragonal



# 18
A plane-wave DFT calculation with PBE was carried out for a relaxed TlInP2 crystal.

```
8
Lattice="6.408 0.000 0.000 0.000 7.231 0.000 0.000 0.000 3.736" Properties=species:S:1:pos:R:3 pbc="T T T"
Tl 0.000 0.000 0.000
Tl 3.204 3.616 0.000
In 0.000 3.616 0.000
In 3.204 0.000 0.000
P 1.602 1.808 1.868
P 1.602 5.423 1.868
P 4.806 1.808 1.868
P 4.806 5.423 1.868
```

ΔE_f   49 kJ/mol of atoms
E above lowest polymorph   48.34 kJ per mole of atoms
Crystal system   orthorhombic



# 19
A plane-wave DFT calculation with PBE was carried out for a relaxed TlInP crystal.

```
12
Lattice="6.939 0.000 0.000 0.000 6.939 0.000 0.000 0.000 6.939" Properties=species:S:1:pos:R:3 pbc="T T T"
Tl 0.000 0.000 0.000
Tl 0.000 3.469 3.469
Tl 3.469 0.000 3.469
Tl 3.469 3.469 0.000
In 0.000 0.000 3.469
In 0.000 3.469 0.000
In 3.469 0.000 0.000
In 3.469 3.469 3.469
P 1.735 1.735 5.204
P 1.735 5.204 1.735
P 5.204 1.735 1.735
P 5.204 5.204 5.204
```

ΔE_f   19 kJ/mol of atoms
E above lowest polymorph   17.72 kJ per mole of atoms
Crystal system   cubic



# 20
A plane-wave DFT calculation with PBE was carried out for a relaxed Tl3InP crystal.

```
5
Lattice="5.698 0.000 0.000 0.000 5.698 0.000 0.000 0.000 5.698" Properties=species:S:1:pos:R:3 pbc="T T T"
Tl 0.000 0.000 2.849
Tl 0.000 2.849 0.000
Tl 2.849 0.000 0.000
In 0.000 0.000 0.000
P 2.849 2.849 2.849
```

ΔE_f   69 kJ/mol of atoms
E above lowest polymorph   32.64 kJ per mole of atoms
Crystal system   cubic



# 21
A plane-wave DFT calculation with PBE was carried out for a relaxed TlInP2 crystal.

```
4
Lattice="4.659 0.000 0.000 0.000 3.946 0.000 -1.591 0.000 5.532" Properties=species:S:1:pos:R:3 pbc="T T T"
Tl 0.000 0.000 0.000
In 1.534 0.000 2.766
P -0.135 1.973 3.615
P 3.203 1.973 1.917
```

ΔE_f   14 kJ/mol of atoms
E above lowest polymorph   13.63 kJ per mole of atoms
Crystal system   monoclinic



# 22
A plane-wave DFT calculation with PBE was carried out for a relaxed TlInP2 crystal.

```
8
Lattice="6.861 0.000 0.000 0.000 3.977 0.000 -2.283 0.000 6.526" Properties=species:S:1:pos:R:3 pbc="T T T"
Tl 0.000 0.000 0.000
Tl 3.431 1.988 0.000
In -1.142 1.988 3.263
In 2.289 0.000 3.263
P 0.003 0.000 4.766
P 1.144 1.988 1.760
P 3.433 1.988 4.766
P 4.575 0.000 1.760
```

ΔE_f   19 kJ/mol of atoms
E above lowest polymorph   19.06 kJ per mole of atoms
Crystal system   monoclinic



# 23
A plane-wave DFT calculation with PBE was carried out for a relaxed TlInP2 crystal.

```
8
Lattice="8.013 0.000 0.000 0.000 7.991 0.000 -0.196 0.000 2.820" Properties=species:S:1:pos:R:3 pbc="T T T"
Tl 0.000 0.000 0.000
Tl 4.006 3.996 0.000
In 0.000 3.996 0.000
In 4.006 0.000 0.000
P 2.003 1.998 0.000
P 2.003 5.994 0.000
P 6.010 1.998 0.000
P 6.010 5.994 0.000
```

ΔE_f   39 kJ/mol of atoms
E above lowest polymorph   38.54 kJ per mole of atoms
Crystal system   monoclinic



# 24
A plane-wave DFT calculation with PBE was carried out for a relaxed TlIn2P2 crystal.

```
10
Lattice="4.958 0.000 0.000 0.000 4.958 0.000 0.000 0.000 10.175" Properties=species:S:1:pos:R:3 pbc="T T T"
Tl 0.000 0.000 0.000
Tl 2.479 2.479 5.088
In 0.000 0.000 3.652
In 0.000 0.000 6.523
In 2.479 2.479 1.436
In 2.479 2.479 8.739
P 0.000 2.479 2.544
P 0.000 2.479 7.631
P 2.479 0.000 2.544
P 2.479 0.000 7.631
```

ΔE_f   12 kJ/mol of atoms
E above lowest polymorph   2.19 kJ per mole of atoms
Crystal system   tetragonal